# La2Ho3Tl

A relaxed structure of La2Ho3Tl (PBE-GGA, Alexandria via LeMat-Bulk).

Lattice parameters (Å, degrees): 9.6804 9.6804 9.6804 159.29 44.45 141.12
With the nearest neighbours (Å) after each atom.
Atoms (fractional coordinates):
La: 0.1906 0.0000 0.1906  4 Ho 3.34-3.61, 2 La 3.48, 1 Tl 3.70
La: 0.8094 0.0000 0.8094  4 Ho 3.34-3.61, 2 La 3.48, 1 Tl 3.70
Ho: 0.1986 0.6986 0.5000  2 Tl 3.21, 6 Ho 3.48-3.50
Ho: 0.3596 0.4924 0.8672  1 Tl 3.01, 1 La 3.34
Ho: 0.6252 0.4924 0.1328  1 Tl 3.01, 1 La 3.34
Tl: 0.7792 0.7792 0.0000  4 Ho 3.01-3.21

Summary:
calculated volume: 33.48 A^3/atom
final energy: -0.311 Ry/atom
offset from the most stable computed form: 145 meV/atom